# 1
The following is a DFT calculation (PBE) of a relaxed Ce4ScP6 crystal.

Structure (POSCAR):
```
Ce4ScP6
1.0
5.4861 3.1674 4.6234
-5.4861 3.1674 4.6234
0.0000 -6.3349 4.6234
Ce Sc P
8 2 12
Direct
0.1279 0.7500 0.3721 Ce
0.2500 0.2500 0.2500 Ce
0.2500 0.6279 0.8721 Ce
0.3721 0.1279 0.7500 Ce
0.6279 0.8721 0.2500 Ce
0.7500 0.3721 0.1279 Ce
0.7500 0.7500 0.7500 Ce
0.8721 0.2500 0.6279 Ce
0.0000 0.0000 0.0000 Sc
0.5000 0.5000 0.5000 Sc
0.0669 0.9167 0.6869 P
0.0833 0.3131 0.9331 P
0.1869 0.4167 0.5669 P
0.3131 0.9331 0.0833 P
0.4167 0.5669 0.1869 P
0.4331 0.8131 0.5833 P
0.5669 0.1869 0.4167 P
0.5833 0.4331 0.8131 P
0.6869 0.0669 0.9167 P
0.8131 0.5833 0.4331 P
0.9167 0.6869 0.0669 P
0.9331 0.0833 0.3131 P
```

Properties
magnetization	0.111	μB per atom
raw total energy	-6.99	eV/atom
ΔE_f	-1.306	eV per atom
SG	R-3c, No. 167


# 2
The following is a DFT calculation (PBE) of a relaxed Ce3ScP4 crystal.

Structure (POSCAR):
```
Ce3ScP4
1.0
4.0051 -5.6670 0.0000
4.0051 5.6670 0.0000
0.0000 0.0000 4.0224
Ce Sc P
3 1 4
Direct
0.0000 0.0000 0.0000 Ce
0.0000 0.5000 0.5000 Ce
0.5000 0.0000 0.5000 Ce
0.5000 0.5000 0.0000 Sc
0.2572 0.7428 0.0000 P
0.2626 0.2626 0.5000 P
0.7374 0.7374 0.5000 P
0.7428 0.2572 0.0000 P
```

Properties
magnetization	0.198	μB per atom
raw total energy	-7.19	eV/atom
ΔE_f	-1.466	eV per atom
SG	Cmmm, No. 65


# 3
The following is a DFT calculation (PBE) of a relaxed CeScP2 crystal.

Structure (POSCAR):
```
CeScP2
1.0
1.9285 1.1134 6.7421
-1.9285 1.1134 6.7421
0.0000 -2.2269 6.7421
Ce Sc P
1 1 2
Direct
0.0000 0.0000 0.0000 Ce
0.1721 0.1721 0.1721 Sc
0.5780 0.5780 0.5780 P
0.7602 0.7602 0.7602 P
```

Properties
magnetization	0.211	μB per atom
relative energy among the computed polymorphs	144	meV/atom
raw total energy	-7.11	eV/atom
ΔE_f	-1.335	eV per atom
SG	R3m, No. 160


# 4
The following is a DFT calculation (PBE) of a relaxed CeScP2 crystal.

Structure (POSCAR):
```
CeScP2
1.0
3.8843 0.0000 0.0000
-1.9422 3.3639 0.0000
0.0000 0.0000 13.0072
Ce Sc P
2 2 4
Direct
0.3333 0.6667 0.2500 Ce
0.6667 0.3333 0.7500 Ce
0.0000 0.0000 0.0000 Sc
0.0000 0.0000 0.5000 Sc
0.3333 0.6667 0.6133 P
0.3333 0.6667 0.8867 P
0.6667 0.3333 0.1133 P
0.6667 0.3333 0.3867 P
```

Properties
magnetization	0.155	μB per atom
relative energy among the computed polymorphs	45	meV/atom
raw total energy	-7.21	eV/atom
ΔE_f	-1.434	eV per atom
SG	P6_3/mmc, No. 194


# 5
The following is a DFT calculation (PBE) of a relaxed CeSc2P3 crystal.

Structure (POSCAR):
```
CeSc2P3
1.0
7.7351 0.0000 0.0000
0.0000 5.5080 0.0000
0.0000 0.0000 11.5977
Ce Sc P
4 8 12
Direct
0.1305 0.2500 0.0800 Ce
0.3695 0.7500 0.5800 Ce
0.6305 0.2500 0.4200 Ce
0.8695 0.7500 0.9200 Ce
0.1218 0.2500 0.4154 Sc
0.1255 0.2500 0.7529 Sc
0.3745 0.7500 0.2529 Sc
0.3782 0.7500 0.9154 Sc
0.6218 0.2500 0.0846 Sc
0.6255 0.2500 0.7471 Sc
0.8745 0.7500 0.2471 Sc
0.8782 0.7500 0.5846 Sc
0.1155 0.7500 0.4118 P
0.1237 0.7500 0.7515 P
0.1345 0.7500 0.0878 P
0.3655 0.2500 0.5878 P
0.3763 0.2500 0.2515 P
0.3845 0.2500 0.9118 P
0.6155 0.7500 0.0882 P
0.6237 0.7500 0.7485 P
0.6345 0.7500 0.4122 P
0.8655 0.2500 0.9122 P
0.8763 0.2500 0.2485 P
0.8845 0.2500 0.5882 P
```

Properties
magnetization	0.031	μB per atom
raw total energy	-7.25	eV/atom
ΔE_f	-1.444	eV per atom
SG	Pnma, No. 62


# 6
The following is a DFT calculation (PBE) of a relaxed CeSm3Sc2P6 crystal.

Structure (POSCAR):
```
CeSm3Sc2P6
1.0
3.4521 -5.9787 0.0000
3.4521 5.9787 0.0000
-2.3071 0.0000 6.5237
Ce Sm Sc P
1 3 2 6
Direct
0.0000 0.0000 0.0000 Ce
0.1652 0.8348 0.5000 Sm
0.5000 0.5000 0.5000 Sm
0.8348 0.1652 0.5000 Sm
0.3330 0.6670 0.0000 Sc
0.6670 0.3330 0.0000 Sc
0.0781 0.4187 0.2345 P
0.2633 0.2633 0.7679 P
0.4187 0.0781 0.2345 P
0.5813 0.9219 0.7655 P
0.7367 0.7367 0.2321 P
0.9219 0.5813 0.7655 P
```

Properties
magnetization	0.000	μB per atom
raw total energy	-6.94	eV/atom
ΔE_f	-1.508	eV per atom
SG	C2/m, No. 12